Compound: HoTh4Bi6
Source: Alexandria
Functional: GGA-PBE
Structure: optimized geometry

a b c (Å): 8.986 8.986 8.986
angles (deg): 90.07 90.07 89.93
Positions (direct):
Ho: 0.500 0.500 0.500
Ho: 0.000 0.000 0.000
Th: 0.357 0.143 0.250
Th: 0.857 0.250 0.357
Th: 0.250 0.643 0.143
Th: 0.250 0.250 0.750
Th: 0.750 0.750 0.250
Th: 0.750 0.357 0.857
Th: 0.143 0.750 0.643
Th: 0.643 0.857 0.750
Bi: 0.672 0.062 0.079
Bi: 0.079 0.328 0.062
Bi: 0.579 0.438 0.172
Bi: 0.938 0.079 0.672
Bi: 0.562 0.172 0.579
Bi: 0.172 0.421 0.438
Bi: 0.828 0.579 0.562
Bi: 0.438 0.828 0.421
Bi: 0.062 0.921 0.328
Bi: 0.421 0.562 0.828
Bi: 0.921 0.672 0.938
Bi: 0.328 0.938 0.921

Properties
Calculated density in g cm⁻³: 10.74
DFT formation energy in eV/atom: -0.524
Calculated volume in A^3/atom: 32.98

Compound: CaCe2Tl9
Source: Alexandria
Functional: GGA-PBE
Structure: optimized geometry

a b c (Å): 4.842 4.842 14.540
angles (deg): 90.00 90.00 90.00
Site moments in Bohr magnetons follow the coordinates.
Positions (direct):
Ca: 0.000 0.000 0.000  0.00
Ce: 0.000 0.000 0.335  0.87
Ce: 0.000 0.000 0.665  0.87
Tl: 0.500 0.500 0.000  -0.01
Tl: 0.500 0.500 0.334  0.00
Tl: 0.500 0.500 0.666  0.00
Tl: 0.500 0.000 0.167  -0.01
Tl: 0.500 0.000 0.500  0.01
Tl: 0.500 0.000 0.833  -0.01
Tl: 0.000 0.500 0.167  -0.01
Tl: 0.000 0.500 0.500  0.01
Tl: 0.000 0.500 0.833  -0.01

Properties
Calculated density in g cm⁻³: 10.52
DFT formation energy in eV/atom: -0.235
Calculated volume in A^3/atom: 28.41

Compound: Sr4MgMn
Source: Alexandria
Functional: GGA-PBE
Structure: optimized geometry

a b c (Å): 7.251 7.251 7.251
angles (deg): 60.00 60.00 60.00
Site moments in Bohr magnetons follow the coordinates.
Positions (direct):
Sr: 0.875 0.375 0.375  -0.02
Sr: 0.375 0.375 0.875  -0.02
Sr: 0.375 0.875 0.375  -0.02
Sr: 0.375 0.375 0.375  -0.02
Mg: 0.750 0.750 0.750  0.00
Mn: 0.000 0.000 0.000  4.39

Properties
Calculated density in g cm⁻³: 2.65
DFT formation energy in eV/atom: 0.717
Calculated volume in A^3/atom: 44.93

Compound: ScNbNi
Source: Alexandria
Functional: GGA-PBE
Structure: optimized geometry

a b c (Å): 4.026 4.026 12.129
angles (deg): 90.00 90.00 120.00
Positions (direct):
Sc: 0.000 0.000 0.114
Sc: 0.333 0.667 0.780
Sc: 0.667 0.333 0.447
Nb: 0.000 0.000 0.617
Nb: 0.333 0.667 0.284
Nb: 0.667 0.333 0.951
Ni: 0.000 0.000 0.875
Ni: 0.333 0.667 0.542
Ni: 0.667 0.333 0.209

Properties
Calculated density in g cm⁻³: 5.75
DFT formation energy in eV/atom: 0.147
Calculated volume in A^3/atom: 18.92

Compound: La2P3Pd3
Source: Alexandria
Functional: GGA-PBE
Structure: optimized geometry

a b c (Å): 8.645 6.938 6.938
angles (deg): 60.00 90.00 90.00
Positions (direct):
La: 0.000 0.333 0.333
La: 0.500 0.667 0.667
La: 0.000 0.667 0.667
La: 0.500 0.333 0.333
P: 0.750 0.000 0.618
P: 0.750 0.618 0.382
P: 0.750 0.382 0.000
P: 0.250 0.000 0.382
P: 0.250 0.382 0.618
P: 0.250 0.618 0.000
Pd: 0.750 0.000 0.270
Pd: 0.750 0.270 0.730
Pd: 0.750 0.730 0.000
Pd: 0.250 0.000 0.730
Pd: 0.250 0.730 0.270
Pd: 0.250 0.270 0.000

Properties
Calculated density in g cm⁻³: 6.36
DFT formation energy in eV/atom: -0.989
Calculated volume in A^3/atom: 22.53

Compound: LaPb4Se
Source: Alexandria
Functional: GGA-PBE
Structure: optimized geometry

a b c (Å): 6.405 6.405 6.405
angles (deg): 60.00 60.00 60.00
Positions (direct):
La: 0.000 0.000 0.000
Pb: 0.876 0.375 0.375
Pb: 0.375 0.375 0.876
Pb: 0.375 0.876 0.375
Pb: 0.375 0.375 0.375
Se: 0.750 0.750 0.750

Properties
Calculated density in g cm⁻³: 9.35
Calculated volume in A^3/atom: 30.97
Uncorrected formation energy in kJ/mol of formula units: -91

Compound: Na2PaAs2O7
Source: Alexandria
Functional: GGA-PBE
Structure: optimized geometry

a b c (Å): 5.924 5.924 9.058
angles (deg): 70.91 70.91 60.00
Site moments in Bohr magnetons follow the coordinates.
Positions (direct):
Na: 0.798 0.798 0.605  0.00
Na: 0.202 0.202 0.395  0.00
Pa: 0.500 0.500 0.500  0.25
As: 0.920 0.920 0.239  0.08
As: 0.080 0.080 0.761  0.08
O: 0.190 0.725 0.359  0.04
O: 0.725 0.190 0.359  0.04
O: 0.725 0.725 0.359  0.04
O: 0.275 0.275 0.641  0.04
O: 0.810 0.275 0.641  0.04
O: 0.000 0.000 0.000  0.32
O: 0.275 0.810 0.641  0.04

Properties
Calculated density in g cm⁻³: 3.51
Calculated volume in A^3/atom: 21.24
Uncorrected formation energy in kJ/mol of formula units: -2128

Compound: Co2TcN
Source: Alexandria
Functional: GGA-PBE
Structure: optimized geometry

a b c (Å): 2.686 2.686 7.322
angles (deg): 79.43 79.43 60.00
Positions (direct):
Co: 0.115 0.115 0.655
Co: 0.885 0.885 0.345
Tc: 0.000 0.000 0.000
N: 0.500 0.500 0.500

Properties
Calculated density in g cm⁻³: 8.54
Calculated volume in A^3/atom: 11.18
Uncorrected formation energy in kJ/mol of formula units: 197